Cs2Pa3BiO12 | the Alexandria database | GGA-PBE | relaxed; uncorrected energy = -0.56634 Ry/atom; DOS(E_F) = 17.835 states/eV/cell; E_form (uncorrected) = -45.12 eV per formula unit
1.0
8.050 -0.014 -0.010
3.964 7.007 -0.010
3.964 2.307 6.616
O Cs Bi Pa
12 2 1 3
direct
0.064 0.064 0.687
0.930 0.314 0.314
0.314 0.314 0.930
0.314 0.930 0.314
0.064 0.687 0.064
0.686 0.070 0.686
0.687 0.064 0.064
0.936 0.936 0.313
0.070 0.686 0.686
0.313 0.936 0.936
0.686 0.686 0.070
0.936 0.313 0.936
0.379 0.379 0.379
0.621 0.621 0.621
0.000 0.000 0.000
0.500 0.000 0.000
0.000 0.000 0.500
0.000 0.500 0.000

=====

Cs4Pa3BiO12 | the Alexandria database | GGA-PBE | relaxed; uncorrected energy = -0.53793 Ry/atom; E_form (uncorrected) = -51.10 eV per formula unit
1.0
7.679 0.000 0.000
-2.560 7.240 0.000
-2.560 -3.620 6.270
Cs Pa O Bi
4 3 12 1
direct
0.500 0.000 0.000
0.500 0.500 0.500
0.000 0.000 0.500
0.000 0.500 0.000
0.000 0.500 0.500
0.500 0.000 0.500
0.500 0.500 0.000
0.500 0.250 0.750
0.251 0.251 0.000
0.750 0.500 0.250
0.749 0.749 0.000
0.750 0.250 0.500
0.749 0.000 0.749
0.500 0.750 0.250
0.251 0.000 0.251
0.250 0.500 0.750
0.000 0.749 0.749
0.000 0.251 0.251
0.250 0.750 0.500
0.000 0.000 0.000

=====

CsPaBi2O6 | the Alexandria database | GGA-PBE | relaxed; uncorrected energy = -0.50524 Ry/atom; DOS(E_F) = 0.000 states/eV/cell; E_form (uncorrected) = -20.88 eV per formula unit
1.0
-5.244 -3.346 -3.233
4.176 -6.281 1.620
-3.323 0.318 6.954
O Bi Cs Pa
12 4 2 2
direct
0.796 0.710 0.026
0.061 0.747 0.373
0.296 0.026 0.710
0.288 0.285 0.414
0.704 0.974 0.290
0.212 0.586 0.715
0.712 0.715 0.586
0.788 0.414 0.285
0.939 0.253 0.627
0.439 0.627 0.253
0.561 0.373 0.747
0.204 0.290 0.974
0.174 0.442 0.218
0.674 0.218 0.442
0.826 0.558 0.782
0.326 0.782 0.558
0.750 0.078 0.922
0.250 0.922 0.078
0.750 0.700 0.300
0.250 0.300 0.700

=====

CsPaBiO6 | the Alexandria database | GGA-PBE | relaxed; uncorrected energy = -0.50257 Ry/atom; DOS(E_F) = 13.702 states/eV/cell; E_form (uncorrected) = -17.56 eV per formula unit
1.0
-5.677 0.277 -5.873
2.655 -6.773 -2.886
-2.119 0.388 7.753
O Cs Pa Bi
12 2 2 2
direct
0.559 0.931 0.747
0.189 0.931 0.747
0.577 0.327 0.154
0.189 0.316 0.747
0.441 0.684 0.253
0.191 0.941 0.383
0.811 0.684 0.253
0.423 0.673 0.846
0.809 0.059 0.617
0.441 0.069 0.253
0.811 0.069 0.253
0.559 0.316 0.747
0.854 0.604 0.708
0.146 0.396 0.292
0.000 0.000 0.500
0.500 0.000 0.500
0.500 0.000 0.000
0.500 0.500 0.000

=====

Cs2BiPbO4 | the Alexandria database | GGA-PBE | relaxed; uncorrected energy = -0.35471 Ry/atom; DOS(E_F) = 2.383 states/eV/cell; E_form (uncorrected) = -9.48 eV per formula unit
1.0
-1.055 5.969 -2.520
-5.821 0.254 3.025
5.569 -1.073 3.681
Bi O Cs Pb
1 4 2 1
direct
0.736 0.736 0.472
0.371 0.753 0.226
0.999 0.101 0.718
0.855 0.473 0.226
0.718 0.616 0.717
0.236 0.236 0.472
0.486 0.986 0.972
0.986 0.486 0.972

=====

CsBiPb2O4 | the Alexandria database | GGA-PBE | relaxed; uncorrected energy = -0.35918 Ry/atom; DOS(E_F) = 3.605 states/eV/cell; E_form (uncorrected) = -7.11 eV per formula unit
1.0
7.796 -0.363 0.045
-0.368 7.796 0.045
-3.637 -3.639 5.208
Cs Pb O Bi
2 4 8 2
direct
0.000 0.500 0.500
0.000 0.500 0.000
0.000 0.000 0.500
0.500 0.000 0.500
0.500 0.000 0.000
0.500 0.500 0.000
0.745 0.755 0.498
0.255 0.245 0.998
0.769 0.167 0.968
0.232 0.833 0.032
0.745 0.755 0.002
0.333 0.731 0.532
0.255 0.245 0.502
0.667 0.268 0.468
0.500 0.500 0.500
0.000 0.000 0.000

=====

Cs3PmBi2O8 | the Alexandria database | GGA-PBE | relaxed; uncorrected energy = -0.39818 Ry/atom; E_form (uncorrected) = -21.11 eV per formula unit
1.0
6.561 0.000 0.000
-3.281 5.682 0.000
0.000 0.000 8.563
O Bi Cs Pm
8 2 3 1
direct
0.166 0.834 0.338
0.834 0.668 0.662
0.333 0.667 0.014
0.667 0.333 0.986
0.332 0.166 0.662
0.166 0.332 0.338
0.668 0.834 0.338
0.834 0.166 0.662
0.333 0.667 0.247
0.667 0.333 0.753
0.000 0.000 0.000
0.333 0.667 0.689
0.667 0.333 0.311
0.000 0.000 0.500

=====

Cs2PmBiO4 | the Alexandria database | GGA-PBE | relaxed; uncorrected energy = -0.41563 Ry/atom; DOS(E_F) = 0.000 states/eV/cell; E_form (uncorrected) = -15.07 eV per formula unit
1.0
3.688 0.000 0.000
0.000 6.383 0.104
0.000 -2.238 6.897
Bi Pm O Cs
1 1 4 2
direct
0.000 0.000 0.000
0.500 0.500 0.000
0.500 0.768 0.824
0.500 0.232 0.176
0.000 0.282 0.829
0.000 0.718 0.171
0.500 0.000 0.500
0.000 0.500 0.500

=====

Cs2PmBiO6 | the Alexandria database | GGA-PBE | relaxed; uncorrected energy = -0.40224 Ry/atom; DOS(E_F) = 6.751 states/eV/cell; E_form (uncorrected) = -14.64 eV per formula unit
1.0
6.399 0.000 0.000
3.199 5.541 0.000
3.199 1.847 5.224
Cs O Pm Bi
2 6 1 1
direct
0.250 0.250 0.250
0.750 0.750 0.750
0.238 0.238 0.762
0.762 0.762 0.238
0.762 0.238 0.238
0.238 0.762 0.762
0.762 0.238 0.762
0.238 0.762 0.238
0.500 0.500 0.500
0.000 0.000 0.000

=====

Cs3PrBi2O6 | the Alexandria database | GGA-PBE | relaxed; uncorrected energy = -0.40327 Ry/atom; DOS(E_F) = 0.000 states/eV/cell; E_form (uncorrected) = -20.99 eV per formula unit
1.0
6.582 0.000 0.000
-3.291 5.700 0.000
0.000 0.000 7.993
O Pr Bi Cs
6 1 2 3
direct
0.829 0.171 0.679
0.829 0.658 0.679
0.171 0.342 0.321
0.658 0.829 0.321
0.342 0.171 0.679
0.171 0.829 0.321
0.000 0.000 0.500
0.667 0.333 0.800
0.333 0.667 0.200
0.000 0.000 0.000
0.667 0.333 0.344
0.333 0.667 0.656

=====

Repeat the ninth record exactly.
Cs2PmBiO6 | the Alexandria database | GGA-PBE | relaxed; uncorrected energy = -0.40224 Ry/atom; DOS(E_F) = 6.751 states/eV/cell; E_form (uncorrected) = -14.64 eV per formula unit
1.0
6.399 0.000 0.000
3.199 5.541 0.000
3.199 1.847 5.224
Cs O Pm Bi
2 6 1 1
direct
0.250 0.250 0.250
0.750 0.750 0.750
0.238 0.238 0.762
0.762 0.762 0.238
0.762 0.238 0.238
0.238 0.762 0.762
0.762 0.238 0.762
0.238 0.762 0.238
0.500 0.500 0.500
0.000 0.000 0.000